# 1
# LiCa2Cd2

A PBEsol-optimized structure of LiCa2Cd2 (meta-GGA SCAN, Alexandria via LeMat-Bulk).

Cell lengths 4.451, 7.902, 7.902 Å; angles 90.00, 90.00, 90.00 degrees
Sites, in units of the cell vectors:
Ca  0.500  0.168  0.668
Ca  0.500  0.668  0.832
Ca  0.500  0.832  0.332
Ca  0.500  0.332  0.168
Li  0.000  0.000  0.000
Li  0.000  0.500  0.500
Cd  0.000  0.368  0.868
Cd  0.000  0.868  0.632
Cd  0.000  0.632  0.132
Cd  0.000  0.132  0.368

Computed properties:
**Raw total energy**: -16.814 eV per atom
**Formation energy**: -1.527 eV per formula unit


# 2
# Li2CaCd2

A PBEsol-optimized structure of Li2CaCd2 (meta-GGA SCAN, Alexandria via LeMat-Bulk).

Cell lengths 3.314, 8.165, 8.165 Å; angles 90.00, 90.00, 90.00 degrees
Sites, in units of the cell vectors:
Ca  0.000  0.000  0.000
Ca  0.000  0.500  0.500
Li  0.500  0.164  0.664
Li  0.500  0.664  0.836
Li  0.500  0.836  0.336
Li  0.500  0.336  0.164
Cd  0.000  0.371  0.871
Cd  0.000  0.871  0.629
Cd  0.000  0.629  0.129
Cd  0.000  0.129  0.371

Computed properties:
**Raw total energy**: -15.271 eV per atom
**Relative energy among the computed polymorphs**: 48 meV per atom
**Formation energy**: -1.082 eV per formula unit


# 3
# LiCaCd2

A PBEsol-optimized structure of LiCaCd2 (meta-GGA SCAN, Alexandria via LeMat-Bulk).

Cell lengths 4.663, 4.663, 5.358 Å; angles 115.80, 115.80, 90.00 degrees
Sites, in units of the cell vectors:
Ca  0.000  0.000  0.000
Cd  0.750  0.250  0.500
Cd  0.250  0.750  0.500
Li  0.500  0.500  0.000

Computed properties:
**Raw total energy**: -18.508 eV per atom
**Relative energy among the computed polymorphs**: 54 meV per atom
**Formation energy**: -1.151 eV per formula unit


# 4
# CaMg2Cd

A PBEsol-optimized structure of CaMg2Cd (meta-GGA SCAN, Alexandria via LeMat-Bulk).

Cell lengths 3.396, 5.046, 6.006 Å; angles 90.00, 100.54, 90.00 degrees
Sites, in units of the cell vectors:
Ca  0.500  0.500  0.000
Mg  0.853  0.000  0.729
Mg  0.147  0.000  0.271
Cd  0.000  0.500  0.500

Computed properties:
**Raw total energy**: -12.637 eV per atom
**Formation energy**: -0.523 eV per formula unit


# 5
# CaMg2Cd

A PBEsol-optimized structure of CaMg2Cd (meta-GGA SCAN, Alexandria via LeMat-Bulk).

Cell lengths 3.616, 3.616, 7.598 Å; angles 90.00, 90.00, 90.00 degrees
Sites, in units of the cell vectors:
Ca  0.000  0.000  0.517
Mg  0.000  0.000  0.986
Mg  0.500  0.500  0.218
Cd  0.500  0.500  0.780

Computed properties:
**Raw total energy**: -12.688 eV per atom
**Formation energy**: -0.726 eV per formula unit


# 6
# Ca2MgCd2

A PBEsol-optimized structure of Ca2MgCd2 (meta-GGA SCAN, Alexandria via LeMat-Bulk).

Cell lengths 4.319, 8.003, 8.003 Å; angles 90.00, 90.00, 90.00 degrees
Sites, in units of the cell vectors:
Ca  0.500  0.170  0.670
Ca  0.500  0.670  0.830
Ca  0.500  0.830  0.330
Ca  0.500  0.330  0.170
Mg  0.000  0.000  0.000
Mg  0.000  0.500  0.500
Cd  0.000  0.370  0.870
Cd  0.000  0.870  0.630
Cd  0.000  0.630  0.130
Cd  0.000  0.130  0.370

Computed properties:
**Raw total energy**: -17.354 eV per atom
**Relative energy among the computed polymorphs**: 0 meV per atom
**Formation energy**: -1.642 eV per formula unit


# 7
# Ca2MgCd

A PBEsol-optimized structure of Ca2MgCd (meta-GGA SCAN, Alexandria via LeMat-Bulk).

Cell lengths 5.424, 5.424, 5.424 Å; angles 60.00, 60.00, 60.00 degrees
Sites, in units of the cell vectors:
Ca  0.750  0.750  0.750
Ca  0.250  0.250  0.250
Mg  0.000  0.000  0.000
Cd  0.500  0.500  0.500

Computed properties:
**Raw total energy**: -13.928 eV per atom
**Relative energy among the computed polymorphs**: 2 meV per atom
**Formation energy**: -0.996 eV per formula unit


# 8
# Ca2MgCd

A PBEsol-optimized structure of Ca2MgCd (meta-GGA SCAN, Alexandria via LeMat-Bulk).

Cell lengths 3.606, 5.634, 6.330 Å; angles 110.20, 106.55, 90.00 degrees
Sites, in units of the cell vectors:
Ca  0.983  0.962  0.966
Ca  0.779  0.303  0.557
Mg  0.219  0.753  0.437
Cd  0.519  0.482  0.039

Computed properties:
**Raw total energy**: -13.893 eV per atom
**Relative energy among the computed polymorphs**: 37 meV per atom
**Formation energy**: -0.857 eV per formula unit


# 9
# Ca2MgCd

A PBEsol-optimized structure of Ca2MgCd (meta-GGA SCAN, Alexandria via LeMat-Bulk).

Cell lengths 3.737, 3.737, 10.487 Å; angles 79.74, 79.74, 60.00 degrees
Sites, in units of the cell vectors:
Ca  0.255  0.255  0.234
Ca  0.745  0.745  0.766
Cd  0.000  0.000  0.000
Mg  0.500  0.500  0.500

Computed properties:
**Raw total energy**: -13.728 eV per atom
**Relative energy among the computed polymorphs**: 202 meV per atom
**Formation energy**: -0.195 eV per formula unit


# 10
# CaMg2Cd2

A PBEsol-optimized structure of CaMg2Cd2 (meta-GGA SCAN, Alexandria via LeMat-Bulk).

Cell lengths 4.351, 4.351, 7.282 Å; angles 107.38, 107.38, 90.00 degrees
Sites, in units of the cell vectors:
Ca  0.000  0.000  0.000
Mg  0.250  0.750  0.500
Mg  0.750  0.250  0.500
Cd  0.396  0.396  0.791
Cd  0.604  0.604  0.209

Computed properties:
**Raw total energy**: -16.360 eV per atom
**Relative energy among the computed polymorphs**: 0 meV per atom
**Formation energy**: -1.361 eV per formula unit


# 11
# Ca2MgCd2

A PBEsol-optimized structure of Ca2MgCd2 (meta-GGA SCAN, Alexandria via LeMat-Bulk).

Cell lengths 4.066, 4.066, 9.560 Å; angles 102.28, 102.28, 90.00 degrees
Sites, in units of the cell vectors:
Ca  0.395  0.395  0.791
Ca  0.605  0.605  0.209
Mg  0.000  0.000  0.000
Cd  0.250  0.750  0.500
Cd  0.750  0.250  0.500

Computed properties:
**Raw total energy**: -17.073 eV per atom
**Relative energy among the computed polymorphs**: 281 meV per atom
**Formation energy**: -0.237 eV per formula unit


# 12
# Ca2MgCd

A PBEsol-optimized structure of Ca2MgCd (meta-GGA SCAN, Alexandria via LeMat-Bulk).

Cell lengths 3.730, 3.730, 8.468 Å; angles 90.00, 90.00, 90.00 degrees
Sites, in units of the cell vectors:
Ca  0.000  0.000  0.960
Ca  0.500  0.500  0.303
Mg  0.500  0.500  0.706
Cd  0.000  0.000  0.531

Computed properties:
**Raw total energy**: -13.865 eV per atom
**Relative energy among the computed polymorphs**: 65 meV per atom
**Formation energy**: -0.746 eV per formula unit


# 13
# CaMg2Cd

A PBEsol-optimized structure of CaMg2Cd (meta-GGA SCAN, Alexandria via LeMat-Bulk).

Cell lengths 3.694, 5.274, 6.104 Å; angles 115.60, 107.61, 90.00 degrees
Sites, in units of the cell vectors:
Ca  0.500  0.000  0.000
Mg  0.724  0.724  0.447
Mg  0.276  0.276  0.553
Cd  0.000  0.500  0.000

Computed properties:
**Raw total energy**: -12.667 eV per atom
**Formation energy**: -0.642 eV per formula unit


# 14
# CaMg2Cd

A PBEsol-optimized structure of CaMg2Cd (meta-GGA SCAN, Alexandria via LeMat-Bulk).

Cell lengths 4.575, 4.575, 4.776 Å; angles 90.00, 90.00, 90.00 degrees
Sites, in units of the cell vectors:
Ca  0.500  0.500  0.500
Mg  0.000  0.500  0.000
Mg  0.500  0.000  0.000
Cd  0.000  0.000  0.500

Computed properties:
**Raw total energy**: -12.665 eV per atom
**Formation energy**: -0.633 eV per formula unit


# 15
# CaMg2Cd

A PBEsol-optimized structure of CaMg2Cd (meta-GGA SCAN, Alexandria via LeMat-Bulk).

Cell lengths 3.399, 4.810, 6.406 Å; angles 90.00, 105.31, 90.00 degrees
Sites, in units of the cell vectors:
Ca  0.454  0.000  0.532
Mg  0.192  0.000  0.011
Mg  0.790  0.500  0.205
Cd  0.064  0.500  0.752

Computed properties:
**Raw total energy**: -12.666 eV per atom
**Formation energy**: -0.638 eV per formula unit


# 16
# Ca2MgCd

A PBEsol-optimized structure of Ca2MgCd (meta-GGA SCAN, Alexandria via LeMat-Bulk).

Cell lengths 3.877, 5.403, 5.402 Å; angles 90.00, 90.00, 90.00 degrees
Sites, in units of the cell vectors:
Ca  0.000  0.874  0.000
Ca  0.000  0.376  0.500
Mg  0.500  0.876  0.500
Cd  0.500  0.374  0.000

Computed properties:
**Raw total energy**: -13.930 eV per atom
**Relative energy among the computed polymorphs**: 0 meV per atom
**Formation energy**: -1.004 eV per formula unit


# 17
# CaMg2Cd2

A PBEsol-optimized structure of CaMg2Cd2 (meta-GGA SCAN, Alexandria via LeMat-Bulk).

Cell lengths 3.394, 8.390, 8.390 Å; angles 90.00, 90.00, 90.00 degrees
Sites, in units of the cell vectors:
Ca  0.000  0.000  0.000
Ca  0.000  0.500  0.500
Mg  0.500  0.169  0.669
Mg  0.500  0.669  0.831
Mg  0.500  0.831  0.331
Mg  0.500  0.331  0.169
Cd  0.000  0.373  0.873
Cd  0.000  0.873  0.627
Cd  0.000  0.627  0.127
Cd  0.000  0.127  0.373

Computed properties:
**Raw total energy**: -16.295 eV per atom
**Relative energy among the computed polymorphs**: 65 meV per atom
**Formation energy**: -1.034 eV per formula unit


# 18
# Ca2MgCd

A PBEsol-optimized structure of Ca2MgCd (meta-GGA SCAN, Alexandria via LeMat-Bulk).

Cell lengths 3.773, 5.504, 6.479 Å; angles 115.14, 106.93, 90.00 degrees
Sites, in units of the cell vectors:
Ca  0.013  0.013  0.026
Ca  0.221  0.721  0.443
Mg  0.783  0.283  0.567
Cd  0.482  0.482  0.965

Computed properties:
**Raw total energy**: -13.897 eV per atom
**Relative energy among the computed polymorphs**: 32 meV per atom
**Formation energy**: -0.875 eV per formula unit


# 19
# CaMg2Cd

A PBEsol-optimized structure of CaMg2Cd (meta-GGA SCAN, Alexandria via LeMat-Bulk).

Cell lengths 5.134, 5.144, 5.134 Å; angles 60.07, 90.00, 119.93 degrees
Sites, in units of the cell vectors:
Ca  0.500  0.000  0.500
Mg  0.000  0.000  0.000
Mg  0.250  0.500  0.250
Cd  0.750  0.500  0.750

Computed properties:
**Raw total energy**: -12.711 eV per atom
**Formation energy**: -0.819 eV per formula unit


# 20
# CaMg30CdO32

A PBEsol-optimized structure of CaMg30CdO32 (meta-GGA SCAN, Alexandria via LeMat-Bulk).

Cell lengths 8.522, 8.521, 8.521 Å; angles 90.00, 90.00, 90.00 degrees
Sites, in units of the cell vectors:
Ca  0.000  0.000  0.000
Mg  0.000  0.500  0.000
Mg  0.000  0.000  0.500
Mg  0.500  0.000  0.000
Mg  0.500  0.500  0.000
Mg  0.500  0.000  0.500
Mg  0.500  0.500  0.500
Mg  0.000  0.251  0.251
Mg  0.000  0.749  0.251
Mg  0.000  0.251  0.749
Mg  0.000  0.749  0.749
Mg  0.500  0.250  0.250
Mg  0.500  0.750  0.250
Mg  0.500  0.250  0.750
Mg  0.500  0.750  0.750
Mg  0.253  0.253  0.000
Mg  0.253  0.747  0.000
Mg  0.253  0.248  0.500
Mg  0.253  0.752  0.500
Mg  0.747  0.253  0.000
Mg  0.747  0.747  0.000
Mg  0.747  0.248  0.500
Mg  0.747  0.752  0.500
Mg  0.253  0.000  0.253
Mg  0.253  0.500  0.248
Mg  0.253  0.000  0.747
Mg  0.253  0.500  0.752
Mg  0.747  0.000  0.253
Mg  0.747  0.500  0.248
Mg  0.747  0.000  0.747
Mg  0.747  0.500  0.752
Cd  0.000  0.500  0.500
O  0.262  0.000  0.000
O  0.254  0.500  0.000
O  0.254  0.000  0.500
O  0.264  0.500  0.500
O  0.738  0.000  0.000
O  0.746  0.500  0.000
O  0.746  0.000  0.500
O  0.736  0.500  0.500
O  0.250  0.250  0.250
O  0.250  0.750  0.250
O  0.250  0.250  0.750
O  0.250  0.750  0.750
O  0.750  0.250  0.250
O  0.750  0.750  0.250
O  0.750  0.250  0.750
O  0.750  0.750  0.750
O  0.000  0.261  0.000
O  0.000  0.739  0.000
O  0.000  0.238  0.500
O  0.000  0.762  0.500
O  0.500  0.252  0.000
O  0.500  0.748  0.000
O  0.500  0.249  0.500
O  0.500  0.751  0.500
O  0.000  0.000  0.261
O  0.000  0.500  0.238
O  0.000  0.000  0.739
O  0.000  0.500  0.762
O  0.500  0.000  0.252
O  0.500  0.500  0.249
O  0.500  0.000  0.748
O  0.500  0.500  0.751

Computed properties:
**ΔE_f (raw)**: -2.93 eV per atom
**Raw total energy**: -9.007 eV per atom


# 21
# CaMgCdTc2

A PBEsol-optimized structure of CaMgCdTc2 (meta-GGA SCAN, Alexandria via LeMat-Bulk).

Cell lengths 5.009, 5.009, 5.237 Å; angles 90.00, 90.00, 90.00 degrees
Each line ends with the local moment (μB).
Sites, in units of the cell vectors:
Mg  0.500  0.500  0.500  -0.05
Ca  0.000  0.000  0.500  -0.07
Tc  0.000  0.500  0.000  2.55
Tc  0.500  0.000  0.000  2.55
Cd  0.000  0.000  0.000  -0.02

Computed properties:
**Raw total energy**: -21.542 eV per atom
**Formation energy**: 7.462 eV per formula unit


# 22
# CaYMgCd2

A PBEsol-optimized structure of CaYMgCd2 (meta-GGA SCAN, Alexandria via LeMat-Bulk).

Cell lengths 5.163, 5.163, 5.487 Å; angles 90.00, 90.00, 90.00 degrees
Each line ends with the local moment (μB).
Sites, in units of the cell vectors:
Y  0.000  0.000  0.500  0.25
Ca  0.500  0.500  0.500  0.01
Mg  0.000  0.000  0.000  0.03
Cd  0.000  0.500  0.000  0.00
Cd  0.500  0.000  0.000  0.00

Computed properties:
**Raw total energy**: -20.440 eV per atom
**Formation energy**: 1.111 eV per formula unit


# 23
# CaMn2Cd

A PBEsol-optimized structure of CaMn2Cd (meta-GGA SCAN, Alexandria via LeMat-Bulk).

Cell lengths 4.816, 4.816, 4.816 Å; angles 60.00, 60.00, 60.00 degrees
Each line ends with the local moment (μB).
Sites, in units of the cell vectors:
Ca  0.500  0.500  0.500  -0.04
Mn  0.000  0.000  0.000  4.15
Mn  0.750  0.750  0.750  4.18
Cd  0.250  0.250  0.250  -0.09

Computed properties:
**Raw total energy**: -19.071 eV per atom
**Formation energy**: 0.304 eV per formula unit


# 24
# CaMnCdSi2

A PBEsol-optimized structure of CaMnCdSi2 (meta-GGA SCAN, Alexandria via LeMat-Bulk).

Cell lengths 5.146, 5.146, 5.339 Å; angles 90.00, 90.00, 90.00 degrees
Each line ends with the local moment (μB).
Sites, in units of the cell vectors:
Ca  0.000  0.000  0.000  -0.14
Mn  0.500  0.500  0.500  4.67
Si  0.000  0.500  0.000  -0.14
Si  0.500  0.000  0.000  -0.14
Cd  0.000  0.000  0.500  -0.01

Computed properties:
**ΔE_f (raw)**: 1.40 eV per atom
**Raw total energy**: -14.272 eV per atom


# 25
# Ca2CdN2

A PBEsol-optimized structure of Ca2CdN2 (meta-GGA SCAN, Alexandria via LeMat-Bulk).

Cell lengths 3.550, 3.550, 7.139 Å; angles 104.39, 104.39, 90.00 degrees
Sites, in units of the cell vectors:
Ca  0.331  0.331  0.662
Ca  0.669  0.669  0.338
Cd  0.000  0.000  0.000
N  0.154  0.154  0.307
N  0.846  0.846  0.693

Computed properties:
**ΔE_f (raw)**: -0.70 eV per atom
**Raw total energy**: -14.369 eV per atom